VASP calculation (PBE) on an optimized crystal structure of BaCrGe2.

The calculation puts the total energy at -5.2819 eV per atom. Its total magnetization is 7.4 μB per cell. The density of states at the Fermi level comes out at 0.404 states/eV per atom. As for the volume: 29.39 Å³ per atom. The formation energy comes out at -87 meV/atom.

The space group is I4_1/amd (No. 141, origin choice 2) and the conventional cell measures 5.563, 5.563 and 15.194 Å, with angles of 90.00, 90.00 and 90.00 degrees. Symmetry generates all atoms from Ba at (0.000, 0.250, 0.375), Cr at (0.000, 0.250, 0.875) and Ge at (0.000, 0.000, 0.000).